! AlP2Rh, relaxed, DFT PBE-GGA; values from VASP
! SG: No. 160
! Energy of formation, eV/atom: -0.26
! D(E_F), states/eV/cell: 1.47
! Theoretical density, g/cm³: 5.43
&SYSTEM
  ibrav = 0, nat = 4, ntyp = 3
/
ATOMIC_SPECIES
Al 26.98 Al.upf
P 30.97 P.upf
Rh 102.91 Rh.upf
CELL_PARAMETERS angstrom
1.575 0.909 6.821
-1.575 0.909 6.821
0.000 -1.819 6.821
ATOMIC_POSITIONS crystal
Al 0.000 0.000 0.000
P 0.241 0.241 0.241
P 0.504 0.504 0.504
Rh 0.756 0.756 0.756